First-principles (PBE) data for a relaxed structure of YMg9Cd3, as listed in the Alexandria database.

## Properties
Crystal system ... monoclinic
Size of the total moment ... 0.00 μB/f.u.
SG ... No. 12
Total energy ... -0.07033 hartree per atom
ΔE_f ... -0.1014 eV/atom

abc: 5.900 7.679 7.681
angles: 81.76 67.41 68.10
Positions (direct):
Y1 0.000 0.000 0.000
Mg1 0.711 0.789 0.787
Mg2 0.289 0.211 0.213
Mg3 0.502 0.211 0.787
Mg4 0.498 0.789 0.213
Mg5 0.652 0.348 0.352
Mg6 0.348 0.652 0.648
Mg7 0.997 0.652 0.352
Mg8 0.003 0.348 0.648
Mg9 0.000 0.500 0.000
Cd1 0.500 0.500 0.000
Cd2 0.000 0.000 0.500
Cd3 0.500 0.000 0.500

First-principles (PBE) data for a relaxed structure of HgPt2Rh, as listed in the Alexandria database.

## Properties
Crystal system ... orthorhombic
Size of the total moment ... 0.00 μB/f.u.
SG ... No. 25
Total energy ... -0.17784 hartree per atom
ΔE_f ... 0.0944 eV/atom

abc: 2.861 3.886 5.959
angles: 90.00 90.00 90.00
Positions (direct):
Hg1 0.500 0.500 0.747
Pt1 0.000 0.000 0.017
Pt2 0.500 0.500 0.257
Rh1 0.000 0.000 0.479

First-principles (PBE) data for a relaxed structure of PmTaPtO6, as listed in the Alexandria database.

## Properties
Crystal system ... tetragonal
Size of the total moment ... 0.00 μB/f.u.
ΔE_f (raw) ... -2.1590 eV per atom
SG ... No. 102
Total energy ... -0.29328 hartree per atom

abc: 4.930 4.930 9.792
angles: 90.00 90.00 90.00
Positions (direct):
Pm1 0.500 0.500 0.507
Pm2 0.000 0.000 0.007
Ta1 0.500 0.500 0.172
Ta2 0.000 0.000 0.672
Pt1 0.500 0.500 0.832
Pt2 0.000 0.000 0.332
O1 0.171 0.829 0.501
O2 0.829 0.171 0.501
O3 0.329 0.329 0.001
O4 0.671 0.671 0.001
O5 0.212 0.788 0.183
O6 0.788 0.212 0.183
O7 0.288 0.288 0.683
O8 0.712 0.712 0.683
O9 0.793 0.207 0.810
O10 0.207 0.793 0.810
O11 0.707 0.707 0.310
O12 0.293 0.293 0.310

First-principles (PBE) data for a relaxed structure of Pm3Dy3Pd4, as listed in the Alexandria database.

## Properties
Crystal system ... orthorhombic
Size of the total moment ... 0.00 μB/f.u.
SG ... No. 38
Total energy ... -0.20476 hartree per atom
ΔE_f ... -0.6889 eV/atom

abc: 3.998 7.900 7.900
angles: 89.05 90.00 90.00
Positions (direct):
Pm1 0.500 0.834 0.166
Pm2 0.500 0.331 0.334
Pm3 0.500 0.666 0.669
Dy1 0.000 0.498 0.000
Dy2 0.000 0.000 0.502
Dy3 0.500 0.168 0.832
Pd1 0.000 0.629 0.371
Pd2 0.000 0.364 0.636
Pd3 0.000 0.877 0.866
Pd4 0.000 0.134 0.123